First-principles (PBE-GGA) data for a relaxed TaCrFe2 crystal, as listed in the Alexandria database.

Structure (CIF):
```
data_TaCrFe2
_cell_length_a 2.6773
_cell_length_b 2.6773
_cell_length_c 25.5417
_cell_angle_alpha 90.00
_cell_angle_beta 90.00
_cell_angle_gamma 120.00
_symmetry_space_group_name_H-M 'R -3 m'
_symmetry_Int_Tables_number 166
_symmetry_space_group_name_Hall '-R 3 2"'
loop_
_atom_site_label
_atom_site_type_symbol
_atom_site_fract_x
_atom_site_fract_y
_atom_site_fract_z
Ta1 Ta 0.0000 0.0000 0.0000
Cr1 Cr 0.0000 0.0000 0.5000
Fe1 Fe 0.0000 0.0000 0.2423
```

Summary:
E, eV for the cell shown: -111.25
E_form, eV/atom: 0.330

***

First-principles (PBE-GGA) data for a relaxed NdCuBr2 crystal, as listed in the Alexandria database.

Structure (CIF):
```
data_NdCuBr2
_cell_length_a 3.8900
_cell_length_b 3.8900
_cell_length_c 26.0842
_cell_angle_alpha 90.00
_cell_angle_beta 90.00
_cell_angle_gamma 120.00
_symmetry_space_group_name_H-M 'R -3 m'
_symmetry_Int_Tables_number 166
_symmetry_space_group_name_Hall '-R 3 2"'
loop_
_atom_site_label
_atom_site_type_symbol
_atom_site_fract_x
_atom_site_fract_y
_atom_site_fract_z
Nd1 Nd 0.0000 0.0000 0.0000
Cu1 Cu 0.0000 0.0000 0.5000
Br1 Br 0.0000 0.0000 0.1110
```

Summary:
E, eV for the cell shown: -42.42
Formation energy without anion corrections, eV/f.u.: -1.93

***

First-principles (PBE-GGA) data for a relaxed CeZnBiPt crystal, as listed in the Alexandria database.

Structure (CIF):
```
data_CeZnBiPt
_cell_length_a 7.094
_cell_length_b 7.094
_cell_length_c 7.094
_cell_angle_alpha 90.00
_cell_angle_beta 90.00
_cell_angle_gamma 90.00
_symmetry_space_group_name_H-M 'F -4 3 m'
_symmetry_Int_Tables_number 216
_symmetry_space_group_name_Hall 'F -4 2 3'
loop_
_atom_site_label
_atom_site_type_symbol
_atom_site_fract_x
_atom_site_fract_y
_atom_site_fract_z
Ce1 Ce 0.000 0.000 0.000
Zn1 Zn 0.250 0.250 0.750
Bi1 Bi 0.000 0.000 0.500
Pt1 Pt 0.250 0.250 0.250
```

Summary:
E, eV for the cell shown: -77.06
E_form, eV/atom: -0.534

***

First-principles (PBE-GGA) data for a relaxed PrNb2Ge2 crystal, as listed in the Alexandria database.

Structure (CIF):
```
data_PrNb2Ge2
_cell_length_a 4.111
_cell_length_b 4.111
_cell_length_c 12.230
_cell_angle_alpha 90.00
_cell_angle_beta 90.00
_cell_angle_gamma 90.00
_symmetry_space_group_name_H-M 'I 4/m m m'
_symmetry_Int_Tables_number 139
_symmetry_space_group_name_Hall '-I 4 2'
loop_
_atom_site_label
_atom_site_type_symbol
_atom_site_fract_x
_atom_site_fract_y
_atom_site_fract_z
Pr1 Pr 0.000 0.000 0.000
Nb1 Nb 0.000 0.500 0.250
Ge1 Ge 0.000 0.000 0.394
```

Summary:
E, eV for the cell shown: -74.35
E_form, eV/atom: -0.604

***

First-principles (PBE-GGA) data for a relaxed VGeTe crystal, as listed in the Alexandria database.

Structure (CIF):
```
data_VGeTe
_cell_length_a 3.452
_cell_length_b 13.667
_cell_length_c 4.943
_cell_angle_alpha 90.00
_cell_angle_beta 90.00
_cell_angle_gamma 90.00
_symmetry_space_group_name_H-M 'C m c m'
_symmetry_Int_Tables_number 63
_symmetry_space_group_name_Hall '-C 2c 2'
loop_
_atom_site_label
_atom_site_type_symbol
_atom_site_fract_x
_atom_site_fract_y
_atom_site_fract_z
V1 V 0.000 0.207 0.250
Ge1 Ge 0.000 0.449 0.750
Te1 Te 0.000 0.144 0.750
```

Summary:
E, eV for the cell shown: -67.20
Formation energy without anion corrections, eV/f.u.: 0.08

***

First-principles (PBE-GGA) data for a relaxed TcSb2Te crystal, as listed in the Alexandria database.

Structure (CIF):
```
data_TcSb2Te
_cell_length_a 3.285
_cell_length_b 4.625
_cell_length_c 12.970
_cell_angle_alpha 90.00
_cell_angle_beta 90.00
_cell_angle_gamma 90.00
_symmetry_space_group_name_H-M 'I m m 2'
_symmetry_Int_Tables_number 44
_symmetry_space_group_name_Hall 'I 2 -2'
loop_
_atom_site_label
_atom_site_type_symbol
_atom_site_fract_x
_atom_site_fract_y
_atom_site_fract_z
Tc1 Tc 0.000 0.000 0.000
Sb1 Sb 0.000 0.000 0.478
Sb2 Sb 0.000 0.500 0.317
Te1 Te 0.000 0.500 0.669
```

Summary:
E, eV for the cell shown: -41.82
Formation energy without anion corrections, eV/f.u.: 0.84

***

Number 1: density of states at the Fermi level 16.2 states/eV/cell, magnetization 2.4 μB/f.u.. Number 2: density of states at the Fermi level 5.9 states/eV/cell, magnetization 0.0 μB/f.u.. Number 3: density of states at the Fermi level 21.8 states/eV/cell, magnetization 0.6 μB/f.u.. Number 4: density of states at the Fermi level 5.1 states/eV/cell, magnetization 0.0 μB/f.u.. Number 5: density of states at the Fermi level 9.4 states/eV/cell, magnetization 0.0 μB/f.u.. Number 6: density of states at the Fermi level 6.3 states/eV/cell, magnetization 0.0 μB/f.u..